(1)
This record from the Alexandria database describes a relaxed CsTcSe2Br crystal. The functional is PBE.

## Properties
Energy above the most stable polymorph in this dataset ... 0 meV/atom
ΔE_f (raw) ... -0.43 eV/atom
Magnetization ... 0.00 μB per cell

a = 4.9217 Å, b = 4.9217 Å, c = 5.7535 Å
α = 90.00°, β = 90.00°, γ = 90.00°
Last column: nearest neighbours and their distance in Å.
Positions (direct):
1 Cs 0.0000 0.0000 0.0000  4 Br 3.48, 8 Se 3.79
2 Tc 0.5000 0.5000 0.5000  4 Se 2.46
3 Se 0.0000 0.5000 0.5000  2 Tc 2.46
4 Se 0.5000 0.0000 0.5000  2 Tc 2.46
5 Br 0.5000 0.5000 0.0000  2 Tc 2.88

=====

(2)
This record from the Alexandria database describes a relaxed CsTc3Se4Br2 crystal. The functional is PBE.

## Properties
ΔE_f (raw) ... -0.83 eV/atom
Magnetization ... 0.00 μB per cell

a = 6.6156 Å, b = 19.5651 Å, c = 10.4326 Å
α = 90.00°, β = 114.25°, γ = 90.00°
Last column: nearest neighbours and their distance in Å.
Positions (direct):
1 Cs 0.0179 0.1898 0.0313  5 Br 3.74-4.02, 3 Se 3.85-4.10
2 Cs 0.0179 0.3102 0.5313  5 Br 3.74-4.02, 3 Se 3.85-4.10
3 Cs 0.9821 0.6898 0.4687  5 Br 3.74-4.02, 3 Se 3.85-4.10
4 Cs 0.9821 0.8102 0.9687  5 Br 3.74-4.02, 3 Se 3.85-4.10
5 Tc 0.1389 0.5771 0.1065  4 Se 2.52-2.53, 1 Br 2.62, 4 Tc 2.63-2.68
6 Tc 0.1389 0.9229 0.6065  4 Se 2.52-2.53, 1 Br 2.62, 4 Tc 2.63-2.68
7 Tc 0.1672 0.0581 0.6489  4 Se 2.51-2.53, 1 Br 2.60, 4 Tc 2.63-2.68
8 Tc 0.1672 0.4419 0.1489  4 Se 2.51-2.53, 1 Br 2.60, 4 Tc 2.63-2.68
9 Tc 0.2182 0.0049 0.4320  5 Se 2.51-2.64, 4 Tc 2.64
10 Tc 0.2182 0.4951 0.9320  5 Se 2.51-2.64, 4 Tc 2.64
11 Tc 0.7818 0.5049 0.0680  5 Se 2.51-2.64, 4 Tc 2.64
12 Tc 0.7818 0.9951 0.5680  5 Se 2.51-2.64, 4 Tc 2.64
13 Tc 0.8328 0.5581 0.8511  4 Se 2.51-2.53, 1 Br 2.60, 4 Tc 2.63-2.68
14 Tc 0.8328 0.9419 0.3511  4 Se 2.51-2.53, 1 Br 2.60, 4 Tc 2.63-2.68
15 Tc 0.8611 0.0771 0.3935  4 Se 2.52-2.53, 1 Br 2.62, 4 Tc 2.63-2.68
16 Tc 0.8611 0.4229 0.8935  4 Se 2.52-2.53, 1 Br 2.62, 4 Tc 2.63-2.68
17 Se 0.0857 0.5225 0.3102  3 Tc 2.52-2.53
18 Se 0.0857 0.9775 0.8102  3 Tc 2.52-2.53
19 Se 0.1839 0.6222 0.8935  3 Tc 2.51-2.52
20 Se 0.1839 0.8778 0.3935  3 Tc 2.51-2.52
21 Se 0.2377 0.1317 0.4735  3 Tc 2.51-2.52
22 Se 0.2377 0.3683 0.9735  3 Tc 2.51-2.52
23 Se 0.4951 0.0143 0.3087  4 Tc 2.53-2.64
24 Se 0.4951 0.4857 0.8087  4 Tc 2.53-2.64
25 Se 0.5049 0.5143 0.1913  4 Tc 2.53-2.64
26 Se 0.5049 0.9857 0.6913  4 Tc 2.53-2.64
27 Se 0.7623 0.6317 0.0265  3 Tc 2.51-2.52
28 Se 0.7623 0.8683 0.5265  3 Tc 2.51-2.52
29 Se 0.8161 0.1222 0.6065  3 Tc 2.51-2.52
30 Se 0.8161 0.3778 0.1065  3 Tc 2.51-2.52
31 Se 0.9143 0.0225 0.1898  3 Tc 2.52-2.53
32 Se 0.9143 0.4775 0.6898  3 Tc 2.52-2.53
33 Br 0.3204 0.6872 0.2497  1 Tc 2.62
34 Br 0.3204 0.8128 0.7497  1 Tc 2.62
35 Br 0.3885 0.1404 0.8540  1 Tc 2.60
36 Br 0.3885 0.3596 0.3540  1 Tc 2.60
37 Br 0.6115 0.6404 0.6460  1 Tc 2.60
38 Br 0.6115 0.8596 0.1460  1 Tc 2.60
39 Br 0.6796 0.1872 0.2503  1 Tc 2.62
40 Br 0.6796 0.3128 0.7503  1 Tc 2.62

=====

Values of energy, in order: -0.324 -0.423, all in Ry/atom.